Version w
Here is RbLi2Ni2 after structural relaxation from Alexandria via LeMat-Bulk. Energies are from PBE-GGA.

Cell lengths 8.017, 8.017, 2.902 Å; angles 90.00, 90.00, 90.00 degrees
Each line ends with the local moment (μB).
Fractional coordinates of all 10 atoms:
Ni  0.896  0.604  0.000  0.39
Ni  0.396  0.896  0.000  0.37
Li  0.840  0.340  0.500  -0.01
Li  0.340  0.160  0.500  -0.01
Ni  0.104  0.396  0.000  0.39
Li  0.160  0.660  0.500  -0.01
Ni  0.604  0.104  0.000  0.37
Rb  0.500  0.500  0.000  -0.01
Rb  0.000  0.000  0.000  -0.01
Li  0.660  0.840  0.500  -0.01

Results
Total magnetic moment = 0.63 μB/f.u.
DOS at the Fermi energy = 5.56 states/eV/cell

---

Version x
Here is RbLi2Ni2 after structural relaxation from Alexandria via LeMat-Bulk. Energies are from PBE-GGA.

Cell lengths 4.626, 4.626, 5.891 Å; angles 66.88, 66.88, 90.00 degrees
Each line ends with the local moment (μB).
Fractional coordinates of all 5 atoms:
Ni  0.617  0.617  0.766  0.40
Li  0.250  0.750  0.500  -0.01
Ni  0.383  0.383  0.234  0.40
Li  0.750  0.250  0.500  -0.01
Rb  0.000  0.000  0.000  -0.01

Results
Total magnetic moment = 0.72 μB/f.u.
DOS at the Fermi energy = 4.84 states/eV/cell

---

Bottom line: version w, by a margin of 52 meV/atom.

---

Version w
Here is RbLi3Ni after structural relaxation from Alexandria via LeMat-Bulk. Energies are from PBE-GGA.

Cell lengths 4.966, 4.966, 4.966 Å; angles 90.00, 90.00, 90.00 degrees
Each line ends with the local moment (μB).
Fractional coordinates of all 5 atoms:
Li  0.000  0.000  0.500  0.00
Ni  0.500  0.500  0.500  0.35
Li  0.500  0.000  0.000  0.00
Li  0.000  0.500  0.000  0.00
Rb  0.000  0.000  0.000  -0.01

Results
Total magnetic moment = 0.25 μB/f.u.
DOS at the Fermi energy = 4.38 states/eV/cell

---

Version x
Here is RbLi3Ni after structural relaxation from Alexandria via LeMat-Bulk. Energies are from PBE-GGA.

Cell lengths 5.041, 5.041, 5.041 Å; angles 90.00, 90.00, 90.00 degrees
Fractional coordinates of all 5 atoms:
Li  0.500  0.000  0.000
Li  0.000  0.000  0.500
Li  0.000  0.500  0.000
Ni  0.000  0.000  0.000
Rb  0.500  0.500  0.500

Results
Total magnetic moment = 0.00 μB/f.u.
DOS at the Fermi energy = 2.20 states/eV/cell

---

Bottom line: version x, by a margin of 938 meV/atom.

---

Version w
Here is LiRe2Ni after structural relaxation from Alexandria via LeMat-Bulk. Energies are from PBE-GGA.

Cell lengths 4.102, 3.598, 3.598 Å; angles 90.00, 90.00, 90.00 degrees
Fractional coordinates of all 4 atoms:
Re  0.000  0.500  0.500
Ni  0.500  0.000  0.500
Re  0.000  0.000  0.000
Li  0.500  0.500  0.000

Results
Total magnetic moment = 0.00 μB/f.u.
DOS at the Fermi energy = 2.09 states/eV/cell

---

Version x
Here is LiRe2Ni after structural relaxation from Alexandria via LeMat-Bulk. Energies are from PBE-GGA.

Cell lengths 4.195, 2.582, 4.952 Å; angles 81.46, 90.00, 90.00 degrees
Fractional coordinates of all 4 atoms:
Re  0.500  0.246  0.256
Li  0.000  0.601  0.511
Re  0.000  0.030  0.005
Ni  0.500  0.622  0.728

Results
Total magnetic moment = 0.00 μB/f.u.
DOS at the Fermi energy = 2.48 states/eV/cell

---

Version y
Here is LiRe2Ni after structural relaxation from Alexandria via LeMat-Bulk. Energies are from PBE-GGA.

Cell lengths 2.640, 2.640, 7.915 Å; angles 90.00, 90.00, 90.00 degrees
Fractional coordinates of all 4 atoms:
Li  0.000  0.000  0.521
Re  0.000  0.000  0.974
Ni  0.500  0.500  0.757
Re  0.500  0.500  0.248

Results
Total magnetic moment = 0.00 μB/f.u.
DOS at the Fermi energy = 3.80 states/eV/cell

---

Bottom line: version x, by a margin of 128 meV/atom.

---

Version w
Here is LiRe2Ni after structural relaxation from Alexandria via LeMat-Bulk. Energies are from PBE-GGA.

Cell lengths 4.220, 4.220, 4.220 Å; angles 60.00, 60.00, 60.00 degrees
Fractional coordinates of all 4 atoms:
Li  0.500  0.500  0.500
Re  0.000  0.000  0.000
Re  0.250  0.250  0.250
Ni  0.750  0.750  0.750

Results
Total magnetic moment = 0.03 μB/f.u.
DOS at the Fermi energy = 4.16 states/eV/cell

---

Version x
Here is LiRe2Ni after structural relaxation from Alexandria via LeMat-Bulk. Energies are from PBE-GGA.

Cell lengths 3.570, 3.570, 9.521 Å; angles 79.20, 79.20, 90.00 degrees
Fractional coordinates of all 8 atoms:
Re  0.875  0.864  0.750
Re  0.614  0.125  0.250
Ni  0.750  0.250  0.500
Ni  0.000  0.000  0.000
Li  0.500  0.500  0.000
Re  0.375  0.386  0.750
Li  0.250  0.750  0.500
Re  0.136  0.625  0.250

Results
Total magnetic moment = 0.00 μB/f.u.
DOS at the Fermi energy = 5.00 states/eV/cell

---

Version y
Here is LiRe2Ni after structural relaxation from Alexandria via LeMat-Bulk. Energies are from PBE-GGA.

Cell lengths 2.572, 2.572, 8.746 Å; angles 90.00, 90.00, 106.23 degrees
Fractional coordinates of all 4 atoms:
Ni  0.500  0.500  0.750
Re  0.000  0.000  0.516
Li  0.500  0.500  0.250
Re  0.000  0.000  0.984

Results
Total magnetic moment = 0.00 μB/f.u.
DOS at the Fermi energy = 3.43 states/eV/cell

---

Bottom line: version w, by a margin of 107 meV/atom.

---

Version w
Here is LiRe2Ni after structural relaxation from Alexandria via LeMat-Bulk. Energies are from PBE-GGA.

Cell lengths 4.600, 4.600, 4.804 Å; angles 84.57, 84.57, 32.21 degrees
Fractional coordinates of all 4 atoms:
Re  0.252  0.252  0.246
Re  0.012  0.012  0.009
Ni  0.741  0.741  0.727
Li  0.495  0.495  0.518

Results
Total magnetic moment = 0.00 μB/f.u.
DOS at the Fermi energy = 2.48 states/eV/cell

---

Version x
Here is LiRe2Ni after structural relaxation from Alexandria via LeMat-Bulk. Energies are from PBE-GGA.

Cell lengths 2.635, 2.635, 8.721 Å; angles 90.00, 90.00, 111.54 degrees
Fractional coordinates of all 4 atoms:
Li  0.000  0.000  0.514
Re  0.000  0.000  0.988
Ni  0.500  0.500  0.754
Re  0.500  0.500  0.244

Results
Total magnetic moment = 0.00 μB/f.u.
DOS at the Fermi energy = 3.39 states/eV/cell

---

Bottom line: version w, by a margin of 23 meV/atom.

---

Version w
Here is LiRe2Ni after structural relaxation from Alexandria via LeMat-Bulk. Energies are from PBE-GGA.

Cell lengths 4.761, 4.761, 4.761 Å; angles 135.35, 135.35, 64.99 degrees
Fractional coordinates of all 4 atoms:
Re  0.000  0.000  0.000
Re  0.500  0.500  0.000
Li  0.250  0.750  0.500
Ni  0.750  0.250  0.500

Results
Total magnetic moment = 0.00 μB/f.u.
DOS at the Fermi energy = 2.21 states/eV/cell

---

Version x
Here is LiRe2Ni after structural relaxation from Alexandria via LeMat-Bulk. Energies are from PBE-GGA.

Cell lengths 4.769, 4.769, 4.568 Å; angles 79.56, 79.56, 32.35 degrees
Fractional coordinates of all 4 atoms:
Re  0.015  0.015  0.994
Re  0.485  0.485  0.506
Li  0.250  0.250  0.250
Ni  0.750  0.750  0.750

Results
Total magnetic moment = 0.00 μB/f.u.
DOS at the Fermi energy = 2.81 states/eV/cell

---

Bottom line: version x, by a margin of 44 meV/atom.

---

Version w
Here is LiRe2Ni after structural relaxation from Alexandria via LeMat-Bulk. Energies are from PBE-GGA.

Cell lengths 2.597, 3.967, 5.227 Å; angles 90.00, 90.00, 90.00 degrees
Fractional coordinates of all 4 atoms:
Re  0.000  0.000  0.005
Ni  0.500  0.500  0.731
Re  0.500  0.500  0.247
Li  0.000  0.000  0.517

Results
Total magnetic moment = 0.00 μB/f.u.
DOS at the Fermi energy = 3.14 states/eV/cell

---

Version x
Here is LiRe2Ni after structural relaxation from Alexandria via LeMat-Bulk. Energies are from PBE-GGA.

Cell lengths 3.147, 3.147, 5.155 Å; angles 90.00, 90.00, 90.00 degrees
Fractional coordinates of all 4 atoms:
Re  0.000  0.000  0.009
Ni  0.500  0.500  0.750
Li  0.500  0.500  0.250
Re  0.000  0.000  0.491

Results
Total magnetic moment = 0.00 μB/f.u.
DOS at the Fermi energy = 2.72 states/eV/cell

---

Version y
Here is LiRe2Ni after structural relaxation from Alexandria via LeMat-Bulk. Energies are from PBE-GGA.

Cell lengths 4.463, 4.463, 2.579 Å; angles 90.00, 90.00, 90.00 degrees
Fractional coordinates of all 4 atoms:
Re  0.500  0.500  0.000
Re  0.000  0.000  0.000
Ni  0.000  0.500  0.500
Li  0.500  0.000  0.500

Results
Total magnetic moment = 0.00 μB/f.u.
DOS at the Fermi energy = 4.72 states/eV/cell

---

Bottom line: version w, by a margin of 227 meV/atom.

---

Version w
Here is LiRe2Ni after structural relaxation from Alexandria via LeMat-Bulk. Energies are from PBE-GGA.

Cell lengths 9.147, 9.147, 9.147 Å; angles 16.86, 16.86, 16.86 degrees
Fractional coordinates of all 4 atoms:
Re  0.494  0.494  0.494
Ni  0.750  0.750  0.750
Li  0.250  0.250  0.250
Re  0.006  0.006  0.006

Results
Total magnetic moment = 0.00 μB/f.u.
DOS at the Fermi energy = 5.06 states/eV/cell

---

Version x
Here is LiRe2Ni after structural relaxation from Alexandria via LeMat-Bulk. Energies are from PBE-GGA.

Cell lengths 4.241, 2.560, 5.079 Å; angles 76.07, 90.00, 90.00 degrees
Fractional coordinates of all 4 atoms:
Li  0.500  0.250  0.250
Re  0.000  0.505  0.498
Ni  0.500  0.750  0.750
Re  0.000  0.995  0.002

Results
Total magnetic moment = 0.00 μB/f.u.
DOS at the Fermi energy = 2.76 states/eV/cell

---

Bottom line: version x, by a margin of 42 meV/atom.